# YCoIr2

Crystalline YCoIr2 at its relaxed geometry (PBE, OQMD).

Cell lengths 4.515, 4.515, 4.515 Å; angles 60.00, 60.00, 60.00 degrees
Positions (direct):
Co 0.250 0.250 0.250
Ir 0.000 0.000 0.000
Ir 0.750 0.750 0.750
Y 0.500 0.500 0.500

Computed properties:
Total magnetic moment in μB/cell: 2.72
Uncorrected energy in eV per atom: -7.76
Space group: F-43m (216)
Energy of formation in kJ/mol of atoms: 5.5

# SmGdAuS3

Crystalline SmGdAuS3 at its relaxed geometry (PBE, OQMD).

Cell lengths 6.922, 6.922, 10.195 Å; angles 90.00, 90.00, 147.68 degrees
Positions (direct):
Au 0.480 0.520 0.250
Au 0.520 0.480 0.750
Gd 0.000 0.000 0.000
Gd 0.000 0.000 0.500
S 0.351 0.649 0.064
S 0.111 0.889 0.250
S 0.351 0.649 0.436
S 0.649 0.351 0.564
S 0.889 0.111 0.750
S 0.649 0.351 0.936
Sm 0.773 0.227 0.250
Sm 0.227 0.773 0.750

Computed properties:
Distance to the lowest polymorph of the same formula in meV/atom: 131.5
Total magnetic moment in μB/cell: 0.08
Uncorrected energy in eV per atom: -5.60
Space group: Cmcm (63)

# ZnGaFe4C2

Crystalline ZnGaFe4C2 at its relaxed geometry (PBE, OQMD).

Cell lengths 2.839, 2.839, 12.272 Å; angles 90.00, 90.00, 120.00 degrees
Each line ends with the local moment (μB).
Positions (direct):
C 0.333 0.667 0.250  -0.08
C 0.333 0.667 0.750  -0.08
Fe 0.000 0.000 0.165  1.42
Fe 0.667 0.333 0.330  1.35
Fe 0.667 0.333 0.670  1.35
Fe 0.000 0.000 0.835  1.43
Ga 0.667 0.333 0.000  -0.03
Zn 0.000 0.000 0.500  -0.04

Computed properties:
Total magnetic moment in μB/cell: 5.25
Uncorrected energy in eV per atom: -6.98
Space group: P-6m2 (187)

# YSiOs2

Crystalline YSiOs2 at its relaxed geometry (PBE, OQMD).

Cell lengths 4.565, 4.565, 4.565 Å; angles 60.00, 60.00, 60.00 degrees
Positions (direct):
Os 0.000 0.000 0.000
Os 0.750 0.750 0.750
Si 0.500 0.500 0.500
Y 0.250 0.250 0.250

Computed properties:
Total magnetic moment in μB/cell: 0.02
Uncorrected energy in eV per atom: -8.21
Space group: F-43m (216)

# PrNdMg6Ge3

Crystalline PrNdMg6Ge3 at its relaxed geometry (PBE, OQMD).

Cell lengths 8.220, 8.220, 4.342 Å; angles 90.00, 90.00, 120.00 degrees
Positions (direct):
Ge 0.057 0.332 0.500
Ge 0.668 0.725 0.500
Ge 0.275 0.943 0.500
Mg 0.462 0.129 0.000
Mg 0.871 0.333 0.000
Mg 0.667 0.538 0.000
Mg 0.667 0.044 0.500
Mg 0.377 0.333 0.500
Mg 0.956 0.623 0.500
Nd 0.000 0.000 0.000
Pr 0.333 0.667 0.000

Computed properties:
Total magnetic moment in μB/cell: 0.01
Uncorrected energy in eV per atom: -3.36
Space group: P-6 (174)

# ErNi3

Crystalline ErNi3 at its relaxed geometry (PBE, OQMD).

Cell lengths 9.791, 9.791, 4.662 Å; angles 90.00, 90.00, 157.11 degrees
Positions (direct):
Er 0.672 0.328 0.000
Er 0.328 0.672 0.000
Ni 0.931 0.069 0.000
Ni 0.069 0.931 0.000
Ni 0.559 0.441 0.265
Ni 0.441 0.559 0.265
Ni 0.559 0.441 0.735
Ni 0.441 0.559 0.735

Computed properties:
Total magnetic moment in μB/cell: 0.08
Uncorrected energy in eV per atom: -4.70
Space group: Cmmm (65)
Energy of formation in kJ/mol of atoms: 59.9

# BaNaPbAu

Crystalline BaNaPbAu at its relaxed geometry (PBE, OQMD).

Cell lengths 5.445, 5.445, 5.445 Å; angles 60.00, 60.00, 60.00 degrees
Positions (direct):
Au 0.750 0.750 0.750
Ba 0.500 0.500 0.500
Na 0.250 0.250 0.250
Pb 0.000 0.000 0.000

Computed properties:
Distance to the lowest polymorph of the same formula in meV/atom: 0.0
Uncorrected energy in eV per atom: -2.94
Space group: F-43m (216)

# SmZnInSe3

Crystalline SmZnInSe3 at its relaxed geometry (PBE, OQMD).

Cell lengths 11.790, 4.307, 12.392 Å; angles 90.00, 90.00, 90.00 degrees
Positions (direct):
In 0.669 0.250 0.005
In 0.169 0.250 0.495
In 0.831 0.750 0.505
In 0.331 0.750 0.995
Se 0.102 0.250 0.060
Se 0.457 0.250 0.158
Se 0.721 0.750 0.196
Se 0.221 0.750 0.304
Se 0.957 0.250 0.342
Se 0.602 0.250 0.440
Se 0.398 0.750 0.560
Se 0.043 0.750 0.658
Se 0.779 0.250 0.696
Se 0.279 0.250 0.804
Se 0.543 0.750 0.842
Se 0.898 0.750 0.940
Sm 0.979 0.750 0.177
Sm 0.479 0.750 0.323
Sm 0.521 0.250 0.677
Sm 0.021 0.250 0.823
Zn 0.253 0.250 0.199
Zn 0.753 0.250 0.301
Zn 0.247 0.750 0.699
Zn 0.747 0.750 0.801

Computed properties:
Distance to the lowest polymorph of the same formula in meV/atom: 29.4
Total magnetic moment in μB/cell: 0.01
Uncorrected energy in eV per atom: -4.24
Space group: Pnma (62)

# Tl2OsS3

Crystalline Tl2OsS3 at its relaxed geometry (PBE, OQMD).

Cell lengths 6.656, 6.701, 8.545 Å; angles 66.94, 88.18, 67.94 degrees
Positions (direct):
Os 0.513 0.571 0.331
Os 0.487 0.429 0.669
S 0.297 0.752 0.081
S 0.860 0.497 0.287
S 0.454 0.793 0.483
S 0.546 0.207 0.517
S 0.140 0.503 0.713
S 0.703 0.248 0.919
Tl 0.295 0.277 0.102
Tl 0.917 0.897 0.338
Tl 0.083 0.103 0.662
Tl 0.705 0.723 0.898

Computed properties:
Distance to the lowest polymorph of the same formula in meV/atom: 61.8
Total magnetic moment in μB/cell: 0.00
Uncorrected energy in eV per atom: -4.86
Space group: P-1 (2)

# TaBeGa

Crystalline TaBeGa at its relaxed geometry (PBE, OQMD).

Cell lengths 3.955, 3.955, 3.955 Å; angles 60.00, 60.00, 60.00 degrees
Positions (direct):
Be 0.000 0.000 0.000
Ga 0.250 0.250 0.250
Ta 0.750 0.750 0.750

Computed properties:
Distance to the lowest polymorph of the same formula in meV/atom: 0.0
Total magnetic moment in μB/cell: 0.00
Uncorrected energy in eV per atom: -5.99
Space group: F-43m (216)

# Er4Ga21Ni10

Crystalline Er4Ga21Ni10 at its relaxed geometry (PBE, OQMD).

Cell lengths 10.599, 10.599, 15.472 Å; angles 124.44, 124.44, 22.14 degrees
Positions (direct):
Er 0.880 0.880 0.167
Er 0.230 0.230 0.324
Er 0.770 0.770 0.676
Er 0.120 0.120 0.833
Ga 0.500 0.500 0.000
Ga 0.702 0.702 0.002
Ga 0.118 0.118 0.054
Ga 0.460 0.460 0.131
Ga 0.615 0.615 0.204
Ga 0.753 0.753 0.207
Ga 0.066 0.066 0.296
Ga 0.374 0.374 0.305
Ga 0.994 0.994 0.409
Ga 0.602 0.602 0.497
Ga 0.799 0.799 0.497
Ga 0.201 0.201 0.503
Ga 0.398 0.398 0.503
Ga 0.006 0.006 0.591
Ga 0.626 0.626 0.695
Ga 0.934 0.934 0.704
Ga 0.247 0.247 0.793
Ga 0.385 0.385 0.796
Ga 0.540 0.540 0.869
Ga 0.882 0.882 0.946
Ga 0.298 0.298 0.998
Ni 0.024 0.024 0.106
Ni 0.250 0.250 0.115
Ni 0.497 0.497 0.314
Ni 0.653 0.653 0.388
Ni 0.867 0.867 0.396
Ni 0.133 0.133 0.604
Ni 0.347 0.347 0.612
Ni 0.503 0.503 0.686
Ni 0.750 0.750 0.885
Ni 0.976 0.976 0.894

Computed properties:
Total magnetic moment in μB/cell: 0.00
Uncorrected energy in eV per atom: -4.44
Space group: C2/m (12)

# ScBe2Nb

Crystalline ScBe2Nb at its relaxed geometry (PBE, OQMD).

Cell lengths 4.402, 4.402, 4.402 Å; angles 60.00, 60.00, 60.00 degrees
Positions (direct):
Be 0.500 0.500 0.500
Be 0.750 0.750 0.750
Nb 0.250 0.250 0.250
Sc 0.000 0.000 0.000

Computed properties:
Total magnetic moment in μB/cell: 2.34
Uncorrected energy in eV per atom: -5.41
Space group: F-43m (216)

What is the uncorrected energy in the twelfth record? -5.41 eV per atom

Copy entry 1 word for word.
# YCoIr2

Crystalline YCoIr2 at its relaxed geometry (PBE, OQMD).

Cell lengths 4.515, 4.515, 4.515 Å; angles 60.00, 60.00, 60.00 degrees
Positions (direct):
Co 0.250 0.250 0.250
Ir 0.000 0.000 0.000
Ir 0.750 0.750 0.750
Y 0.500 0.500 0.500

Computed properties:
Total magnetic moment in μB/cell: 2.72
Uncorrected energy in eV per atom: -7.76
Space group: F-43m (216)
Energy of formation in kJ/mol of atoms: 5.5